[1]
# ZrBeIr3

A relaxed ZrBeIr3 crystal (GGA-PBE, Alexandria via LeMat-Bulk).

Structure (CIF):
```
data_ZrBeIr3
_chemical_formula_sum 'Zr1 Be1 Ir3'
_cell_length_a 4.839
_cell_length_b 4.839
_cell_length_c 4.839
_cell_angle_alpha 90.00
_cell_angle_beta 90.00
_cell_angle_gamma 90.00
_space_group_name_H-M_alt 'P 1'
_space_group_IT_number 1
loop_
_space_group_symop_operation_xyz
'x,y,z'
loop_
_atom_site_label
_atom_site_fract_x
_atom_site_fract_y
_atom_site_fract_z
Be1 0.500 0.500 0.500
Ir1 0.000 0.500 0.000
Ir2 0.000 0.000 0.500
Ir3 0.500 0.000 0.000
Zr1 0.000 0.000 0.000
```

Results
ΔH_f (0 K) = 916 kJ/mol of formula units
Magnetic moment = 0.000 μB per atom
Space-group type = Pm-3m (221)



[2]
# Ta4Mn3Tc

A relaxed Ta4Mn3Tc crystal (GGA-PBE, Alexandria via LeMat-Bulk).

Structure (CIF):
```
data_Ta4Mn3Tc
_chemical_formula_sum 'Ta4 Mn3 Tc1'
_cell_length_a 3.099
_cell_length_b 4.389
_cell_length_c 8.739
_cell_angle_alpha 90.00
_cell_angle_beta 90.00
_cell_angle_gamma 90.00
_space_group_name_H-M_alt 'P 1'
_space_group_IT_number 1
loop_
_space_group_symop_operation_xyz
'x,y,z'
loop_
_atom_site_label
_atom_site_fract_x
_atom_site_fract_y
_atom_site_fract_z
Mn1 0.500 0.000 0.253
Mn2 0.500 0.500 0.500
Mn3 0.500 0.000 0.747
Tc1 0.500 0.500 0.000
Ta1 0.000 0.000 0.500
Ta2 0.000 0.500 0.743
Ta3 0.000 0.000 0.000
Ta4 0.000 0.500 0.257
```

Results
ΔH_f (0 K) = -225 kJ/mol of formula units
Magnetic moment = 0.000 μB per atom
Space-group type = Pmmm (47)



[3]
# BaAc2Ga6

A relaxed BaAc2Ga6 crystal (GGA-PBE, Alexandria via LeMat-Bulk).

Structure (CIF):
```
data_BaAc2Ga6
_chemical_formula_sum 'Ba1 Ac2 Ga6'
_cell_length_a 4.623
_cell_length_b 8.176
_cell_length_c 8.176
_cell_angle_alpha 69.69
_cell_angle_beta 73.58
_cell_angle_gamma 73.58
_space_group_name_H-M_alt 'P 1'
_space_group_IT_number 1
loop_
_space_group_symop_operation_xyz
'x,y,z'
loop_
_atom_site_label
_atom_site_fract_x
_atom_site_fract_y
_atom_site_fract_z
Ba1 0.000 0.000 0.000
Ac1 0.855 0.645 0.645
Ac2 0.145 0.355 0.355
Ga1 0.684 0.053 0.578
Ga2 0.316 0.947 0.422
Ga3 0.316 0.422 0.947
Ga4 0.500 0.652 0.348
Ga5 0.500 0.348 0.652
Ga6 0.684 0.578 0.053
```

Results
ΔH_f (0 K) = -318 kJ/mol of formula units
Magnetic moment = 0.000 μB per atom
Space-group type = Immm (71)



[4]
# LiGaSn

A relaxed LiGaSn crystal (GGA-PBE, Alexandria via LeMat-Bulk).

Structure (CIF):
```
data_LiGaSn
_chemical_formula_sum 'Li2 Ga2 Sn2'
_cell_length_a 7.968
_cell_length_b 7.968
_cell_length_c 7.968
_cell_angle_alpha 32.67
_cell_angle_beta 32.67
_cell_angle_gamma 32.67
_space_group_name_H-M_alt 'P 1'
_space_group_IT_number 1
loop_
_space_group_symop_operation_xyz
'x,y,z'
loop_
_atom_site_label
_atom_site_fract_x
_atom_site_fract_y
_atom_site_fract_z
Sn1 0.696 0.696 0.696
Sn2 0.304 0.304 0.304
Ga1 0.177 0.177 0.177
Ga2 0.823 0.823 0.823
Li1 0.564 0.564 0.564
Li2 0.436 0.436 0.436
```

Results
ΔH_f (0 K) = -74 kJ/mol of formula units
Magnetic moment = 0.000 μB per atom
Space-group type = R-3m (166)



[5]
# Dy4Er3Tm8

A relaxed Dy4Er3Tm8 crystal (GGA-PBE, Alexandria via LeMat-Bulk).

Structure (CIF):
```
data_Dy4Er3Tm8
_chemical_formula_sum 'Dy4 Er3 Tm8'
_cell_length_a 6.824
_cell_length_b 6.824
_cell_length_c 12.229
_cell_angle_alpha 73.80
_cell_angle_beta 73.80
_cell_angle_gamma 60.00
_space_group_name_H-M_alt 'P 1'
_space_group_IT_number 1
loop_
_space_group_symop_operation_xyz
'x,y,z'
loop_
_atom_site_label
_atom_site_fract_x
_atom_site_fract_y
_atom_site_fract_z
Dy1 0.000 0.000 0.000
Dy2 0.337 0.337 0.990
Dy3 0.500 0.500 0.500
Dy4 0.663 0.663 0.010
Er1 0.500 0.000 0.500
Er2 0.000 0.000 0.500
Er3 0.000 0.500 0.500
Tm1 0.245 0.245 0.266
Tm2 0.248 0.750 0.252
Tm3 0.750 0.750 0.252
Tm4 0.750 0.248 0.252
Tm5 0.755 0.755 0.734
Tm6 0.752 0.250 0.748
Tm7 0.250 0.250 0.748
Tm8 0.250 0.752 0.748
```

Results
ΔH_f (0 K) = 206 kJ/mol of formula units
Magnetic moment = 0.000 μB per atom
Space-group type = R-3m (166)



[6]
# OsAu

A relaxed OsAu crystal (GGA-PBE, Alexandria via LeMat-Bulk).

Structure (CIF):
```
data_OsAu
_chemical_formula_sum 'Os1 Au1'
_cell_length_a 4.112
_cell_length_b 4.112
_cell_length_c 4.112
_cell_angle_alpha 60.00
_cell_angle_beta 60.00
_cell_angle_gamma 60.00
_space_group_name_H-M_alt 'P 1'
_space_group_IT_number 1
loop_
_space_group_symop_operation_xyz
'x,y,z'
loop_
_atom_site_label
_atom_site_fract_x
_atom_site_fract_y
_atom_site_fract_z
Au1 0.000 0.000 0.000
Os1 0.250 0.250 0.250
```

Results
ΔH_f (0 K) = 433 kJ/mol of formula units
Magnetic moment = 0.731 μB per atom
Space-group type = F-43m (216)



[7]
# Li5Tl2Au

A relaxed Li5Tl2Au crystal (GGA-PBE, Alexandria via LeMat-Bulk).

Structure (CIF):
```
data_Li5Tl2Au
_chemical_formula_sum 'Li5 Tl2 Au1'
_cell_length_a 4.767
_cell_length_b 4.767
_cell_length_c 7.203
_cell_angle_alpha 109.32
_cell_angle_beta 109.32
_cell_angle_gamma 90.00
_space_group_name_H-M_alt 'P 1'
_space_group_IT_number 1
loop_
_space_group_symop_operation_xyz
'x,y,z'
loop_
_atom_site_label
_atom_site_fract_x
_atom_site_fract_y
_atom_site_fract_z
Li1 0.500 0.500 0.000
Li2 0.885 0.385 0.770
Li3 0.385 0.885 0.770
Li4 0.115 0.615 0.230
Li5 0.615 0.115 0.230
Tl1 0.751 0.751 0.502
Tl2 0.249 0.249 0.498
Au1 0.000 0.000 0.000
```

Results
ΔH_f (0 K) = -228 kJ/mol of formula units
Magnetic moment = 0.000 μB per atom
Space-group type = I4/mmm (139)



[8]
# Mg2Be2In

A relaxed Mg2Be2In crystal (GGA-PBE, Alexandria via LeMat-Bulk).

Structure (CIF):
```
data_Mg2Be2In
_chemical_formula_sum 'Mg4 Be4 In2'
_cell_length_a 6.472
_cell_length_b 6.472
_cell_length_c 4.019
_cell_angle_alpha 90.00
_cell_angle_beta 90.00
_cell_angle_gamma 90.00
_space_group_name_H-M_alt 'P 1'
_space_group_IT_number 1
loop_
_space_group_symop_operation_xyz
'x,y,z'
loop_
_atom_site_label
_atom_site_fract_x
_atom_site_fract_y
_atom_site_fract_z
Be1 0.382 0.882 0.000
Be2 0.882 0.618 0.000
Be3 0.618 0.118 0.000
Be4 0.118 0.382 0.000
Mg1 0.166 0.666 0.500
Mg2 0.666 0.834 0.500
Mg3 0.834 0.334 0.500
Mg4 0.334 0.166 0.500
In1 0.000 0.000 0.000
In2 0.500 0.500 0.000
```

Results
ΔH_f (0 K) = 93 kJ/mol of formula units
Magnetic moment = 0.000 μB per atom
Space-group type = P4/mbm (127)



[9]
# RbBePd3

A relaxed RbBePd3 crystal (GGA-PBE, Alexandria via LeMat-Bulk).

Structure (CIF):
```
data_RbBePd3
_chemical_formula_sum 'Rb1 Be1 Pd3'
_cell_length_a 5.138
_cell_length_b 5.138
_cell_length_c 5.138
_cell_angle_alpha 90.00
_cell_angle_beta 90.00
_cell_angle_gamma 90.00
_space_group_name_H-M_alt 'P 1'
_space_group_IT_number 1
loop_
_space_group_symop_operation_xyz
'x,y,z'
loop_
_atom_site_label
_atom_site_fract_x
_atom_site_fract_y
_atom_site_fract_z
Be1 0.500 0.500 0.500
Rb1 0.000 0.000 0.000
Pd1 0.000 0.500 0.000
Pd2 0.000 0.000 0.500
Pd3 0.500 0.000 0.000
```

Results
ΔH_f (0 K) = 891 kJ/mol of formula units
Magnetic moment = 0.000 μB per atom
Space-group type = Pm-3m (221)



[10]
# Sr2NbBiO6

A relaxed Sr2NbBiO6 crystal (GGA-PBE, Alexandria via LeMat-Bulk).

Structure (CIF):
```
data_Sr2NbBiO6
_chemical_formula_sum 'Sr2 Nb1 Bi1 O6'
_cell_length_a 6.084
_cell_length_b 6.084
_cell_length_c 6.084
_cell_angle_alpha 60.00
_cell_angle_beta 60.00
_cell_angle_gamma 60.00
_space_group_name_H-M_alt 'P 1'
_space_group_IT_number 1
loop_
_space_group_symop_operation_xyz
'x,y,z'
loop_
_atom_site_label
_atom_site_fract_x
_atom_site_fract_y
_atom_site_fract_z
Sr1 0.250 0.250 0.250
Sr2 0.750 0.750 0.750
Nb1 0.500 0.500 0.500
Bi1 0.000 0.000 0.000
O1 0.267 0.733 0.267
O2 0.733 0.267 0.733
O3 0.733 0.733 0.267
O4 0.267 0.267 0.733
O5 0.267 0.733 0.733
O6 0.733 0.267 0.267
```

Results
Magnetic moment = 0.000 μB per atom
ΔE_f (raw) = -23.25 eV/f.u.
Space-group type = Fm-3m (225)



[11]
# KHgOs3

A relaxed KHgOs3 crystal (GGA-PBE, Alexandria via LeMat-Bulk).

Structure (CIF):
```
data_KHgOs3
_chemical_formula_sum 'K1 Hg1 Os3'
_cell_length_a 4.653
_cell_length_b 4.653
_cell_length_c 4.653
_cell_angle_alpha 90.00
_cell_angle_beta 90.00
_cell_angle_gamma 90.00
_space_group_name_H-M_alt 'P 1'
_space_group_IT_number 1
loop_
_space_group_symop_operation_xyz
'x,y,z'
loop_
_atom_site_label
_atom_site_fract_x
_atom_site_fract_y
_atom_site_fract_z
K1 0.000 0.000 0.000
Os1 0.000 0.500 0.000
Os2 0.000 0.000 0.500
Os3 0.500 0.000 0.000
Hg1 0.500 0.500 0.500
```

Results
ΔH_f (0 K) = 1828 kJ/mol of formula units
Magnetic moment = 0.426 μB per atom
Space-group type = Pm-3m (221)



[12]
# Sb2RuAu

A relaxed Sb2RuAu crystal (GGA-PBE, Alexandria via LeMat-Bulk).

Structure (CIF):
```
data_Sb2RuAu
_chemical_formula_sum 'Sb2 Ru1 Au1'
_cell_length_a 3.205
_cell_length_b 3.205
_cell_length_c 8.270
_cell_angle_alpha 90.00
_cell_angle_beta 90.00
_cell_angle_gamma 89.96
_space_group_name_H-M_alt 'P 1'
_space_group_IT_number 1
loop_
_space_group_symop_operation_xyz
'x,y,z'
loop_
_atom_site_label
_atom_site_fract_x
_atom_site_fract_y
_atom_site_fract_z
Au1 0.000 0.000 0.527
Ru1 0.500 0.500 0.753
Sb1 0.000 0.000 0.929
Sb2 0.500 0.500 0.291
```

Results
Magnetic moment = 0.000 μB per atom
ΔE_f (raw) = 0.63 eV/f.u.
Space-group type = P4mm (99)



[13]
# TbPm2Ag2

A relaxed TbPm2Ag2 crystal (GGA-PBE, Alexandria via LeMat-Bulk).

Structure (CIF):
```
data_TbPm2Ag2
_chemical_formula_sum 'Tb2 Pm4 Ag4'
_cell_length_a 3.710
_cell_length_b 5.333
_cell_length_c 13.807
_cell_angle_alpha 90.00
_cell_angle_beta 97.70
_cell_angle_gamma 90.00
_space_group_name_H-M_alt 'P 1'
_space_group_IT_number 1
loop_
_space_group_symop_operation_xyz
'x,y,z'
loop_
_atom_site_label
_atom_site_fract_x
_atom_site_fract_y
_atom_site_fract_z
Tb1 0.855 0.750 0.710
Tb2 0.145 0.250 0.290
Pm1 0.047 0.750 0.095
Pm2 0.953 0.250 0.905
Pm3 0.235 0.750 0.469
Pm4 0.765 0.250 0.531
Ag1 0.642 0.750 0.284
Ag2 0.358 0.250 0.716
Ag3 0.451 0.750 0.900
Ag4 0.549 0.250 0.100
```

Results
ΔH_f (0 K) = -98 kJ/mol of formula units
Magnetic moment = 0.000 μB per atom
Space-group type = P2_1/m (11)



| no. | DOS(E_F) (states/eV/atom) |
| --- | --- |
| 1 | 1.29 |
| 2 | 0.23 |
| 3 | 0.47 |
| 4 | 0.08 |
| 5 | 1.46 |
| 6 | 1.79 |
| 7 | 0.33 |
| 8 | 0.36 |
| 9 | 0.55 |
| 10 | 0.00 |
| 11 | 1.27 |
| 12 | 0.82 |
| 13 | 0.93 |